--- a ---
First-principles (PBE-GGA) data for a relaxed K2SiSb crystal, as listed in the Alexandria database.

Geometry as CIF:
```
data_K2SiSb
_space_group_name_H-M_alt 'C 1 2/m 1'
_space_group_IT_number 12
_space_group_name_Hall '-C 2y'
_cell_length_a 11.262
_cell_length_b 3.137
_cell_length_c 7.022
_cell_angle_alpha 90.00
_cell_angle_beta 95.34
_cell_angle_gamma 90.00
loop_
_atom_site_label
_atom_site_fract_x
_atom_site_fract_y
_atom_site_fract_z
_atom_site_occupancy
K1 0.249 0.000 0.254 1
Si1 0.000 0.000 0.500 1
Sb1 0.000 0.500 0.000 1
```

---

--- b ---
First-principles (PBE-GGA) data for a relaxed K2SiSb crystal, as listed in the Alexandria database.

Geometry as CIF:
```
data_K2SiSb
_space_group_name_H-M_alt 'P 1 m 1'
_space_group_IT_number 6
_space_group_name_Hall 'P -2y'
_cell_length_a 5.497
_cell_length_b 4.150
_cell_length_c 6.817
_cell_angle_alpha 90.00
_cell_angle_beta 113.71
_cell_angle_gamma 90.00
loop_
_atom_site_label
_atom_site_fract_x
_atom_site_fract_y
_atom_site_fract_z
_atom_site_occupancy
K1 0.000 0.000 0.000 1
K2 0.286 0.500 0.571 1
Si1 0.568 0.500 0.140 1
Sb1 0.702 0.000 0.401 1
```

---

Which is the most stable structure? b is the most stable.

---

--- a ---
First-principles (PBE-GGA) data for a relaxed K2SiSb crystal, as listed in the Alexandria database.

Geometry as CIF:
```
data_K2SiSb
_space_group_name_H-M_alt 'P 1 21/c 1'
_space_group_IT_number 14
_space_group_name_Hall '-P 2ybc'
_cell_length_a 9.316
_cell_length_b 9.760
_cell_length_c 7.662
_cell_angle_alpha 90.00
_cell_angle_beta 105.50
_cell_angle_gamma 90.00
loop_
_atom_site_label
_atom_site_fract_x
_atom_site_fract_y
_atom_site_fract_z
_atom_site_occupancy
K1 0.222 0.087 0.179 1
K2 0.236 0.627 0.105 1
Si1 0.444 0.613 0.515 1
Sb1 0.457 0.166 0.629 1
```

---

--- b ---
First-principles (PBE-GGA) data for a relaxed K2SiSb crystal, as listed in the Alexandria database.

Geometry as CIF:
```
data_K2SiSb
_space_group_name_H-M_alt 'P 4/m m m'
_space_group_IT_number 123
_space_group_name_Hall '-P 4 2'
_cell_length_a 6.639
_cell_length_b 6.639
_cell_length_c 2.924
_cell_angle_alpha 90.00
_cell_angle_beta 90.00
_cell_angle_gamma 90.00
loop_
_atom_site_label
_atom_site_fract_x
_atom_site_fract_y
_atom_site_fract_z
_atom_site_occupancy
K1 0.000 0.500 0.000 1
Si1 0.000 0.000 0.500 1
Sb1 0.500 0.500 0.500 1
```

---

Which is the most stable structure? a is the most stable.

---

--- a ---
First-principles (PBE-GGA) data for a relaxed KSi3Sb crystal, as listed in the Alexandria database.

Geometry as CIF:
```
data_KSi3Sb
_space_group_name_H-M_alt 'P m -3 m'
_space_group_IT_number 221
_space_group_name_Hall '-P 4 2 3'
_cell_length_a 5.366
_cell_length_b 5.366
_cell_length_c 5.366
_cell_angle_alpha 90.00
_cell_angle_beta 90.00
_cell_angle_gamma 90.00
loop_
_atom_site_label
_atom_site_fract_x
_atom_site_fract_y
_atom_site_fract_z
_atom_site_occupancy
K1 0.000 0.000 0.000 1
Si1 0.000 0.500 0.500 1
Sb1 0.500 0.500 0.500 1
```

---

--- b ---
First-principles (PBE-GGA) data for a relaxed KSi3Sb crystal, as listed in the Alexandria database.

Geometry as CIF:
```
data_KSi3Sb
_space_group_name_H-M_alt 'P m -3 m'
_space_group_IT_number 221
_space_group_name_Hall '-P 4 2 3'
_cell_length_a 5.330
_cell_length_b 5.330
_cell_length_c 5.330
_cell_angle_alpha 90.00
_cell_angle_beta 90.00
_cell_angle_gamma 90.00
loop_
_atom_site_label
_atom_site_fract_x
_atom_site_fract_y
_atom_site_fract_z
_atom_site_occupancy
K1 0.000 0.000 0.000 1
Si1 0.000 0.000 0.500 1
Sb1 0.500 0.500 0.500 1
```

---

Which is the most stable structure? a is the most stable.

---

--- a ---
First-principles (PBE-GGA) data for a relaxed KSiSb3 crystal, as listed in the Alexandria database.

Geometry as CIF:
```
data_KSiSb3
_space_group_name_H-M_alt 'P m -3 m'
_space_group_IT_number 221
_space_group_name_Hall '-P 4 2 3'
_cell_length_a 5.742
_cell_length_b 5.742
_cell_length_c 5.742
_cell_angle_alpha 90.00
_cell_angle_beta 90.00
_cell_angle_gamma 90.00
loop_
_atom_site_label
_atom_site_fract_x
_atom_site_fract_y
_atom_site_fract_z
_atom_site_occupancy
K1 0.000 0.000 0.000 1
Si1 0.500 0.500 0.500 1
Sb1 0.000 0.000 0.500 1
```

---

--- b ---
First-principles (PBE-GGA) data for a relaxed KSiSb3 crystal, as listed in the Alexandria database.

Geometry as CIF:
```
data_KSiSb3
_space_group_name_H-M_alt 'P m -3 m'
_space_group_IT_number 221
_space_group_name_Hall '-P 4 2 3'
_cell_length_a 5.406
_cell_length_b 5.406
_cell_length_c 5.406
_cell_angle_alpha 90.00
_cell_angle_beta 90.00
_cell_angle_gamma 90.00
loop_
_atom_site_label
_atom_site_fract_x
_atom_site_fract_y
_atom_site_fract_z
_atom_site_occupancy
K1 0.000 0.000 0.000 1
Si1 0.500 0.500 0.500 1
Sb1 0.000 0.500 0.500 1
```

---

Which is the most stable structure? b is the most stable.

---

--- a ---
First-principles (PBE-GGA) data for a relaxed K3SnSb crystal, as listed in the Alexandria database.

Geometry as CIF:
```
data_K3SnSb
_space_group_name_H-M_alt 'I m a 2'
_space_group_IT_number 46
_space_group_name_Hall 'I 2 -2a'
_cell_length_a 10.825
_cell_length_b 9.156
_cell_length_c 9.520
_cell_angle_alpha 90.00
_cell_angle_beta 90.00
_cell_angle_gamma 90.00
loop_
_atom_site_label
_atom_site_fract_x
_atom_site_fract_y
_atom_site_fract_z
_atom_site_occupancy
K1 0.041 0.235 0.000 1
K2 0.250 0.587 0.218 1
Sn1 0.250 0.537 0.859 1
Sb1 0.250 0.559 0.568 1
```

---

--- b ---
First-principles (PBE-GGA) data for a relaxed K3SnSb crystal, as listed in the Alexandria database.

Geometry as CIF:
```
data_K3SnSb
_space_group_name_H-M_alt 'P m -3 m'
_space_group_IT_number 221
_space_group_name_Hall '-P 4 2 3'
_cell_length_a 6.671
_cell_length_b 6.671
_cell_length_c 6.671
_cell_angle_alpha 90.00
_cell_angle_beta 90.00
_cell_angle_gamma 90.00
loop_
_atom_site_label
_atom_site_fract_x
_atom_site_fract_y
_atom_site_fract_z
_atom_site_occupancy
K1 0.000 0.000 0.500 1
Sn1 0.500 0.500 0.500 1
Sb1 0.000 0.000 0.000 1
```

---

Which is the most stable structure? a is the most stable.

---

--- a ---
First-principles (PBE-GGA) data for a relaxed KSnSb crystal, as listed in the Alexandria database.

Geometry as CIF:
```
data_KSnSb
_space_group_name_H-M_alt 'P -6 m 2'
_space_group_IT_number 187
_space_group_name_Hall 'P -6 2'
_cell_length_a 5.5501
_cell_length_b 5.5501
_cell_length_c 3.5736
_cell_angle_alpha 90.00
_cell_angle_beta 90.00
_cell_angle_gamma 120.00
loop_
_atom_site_label
_atom_site_fract_x
_atom_site_fract_y
_atom_site_fract_z
_atom_site_occupancy
K1 0.0000 0.0000 0.0000 1
Sn1 0.3333 0.6667 0.5000 1
Sb1 0.6667 0.3333 0.5000 1
```

---

--- b ---
First-principles (PBE-GGA) data for a relaxed KSnSb crystal, as listed in the Alexandria database.

Geometry as CIF:
```
data_KSnSb
_space_group_name_H-M_alt 'P 63 m c'
_space_group_IT_number 186
_space_group_name_Hall 'P 6c -2c'
_cell_length_a 4.4423
_cell_length_b 4.4423
_cell_length_c 13.2057
_cell_angle_alpha 90.00
_cell_angle_beta 90.00
_cell_angle_gamma 120.00
loop_
_atom_site_label
_atom_site_fract_x
_atom_site_fract_y
_atom_site_fract_z
_atom_site_occupancy
K1 0.3333 0.6667 0.0000 1
Sn1 0.0000 0.0000 0.2977 1
Sb1 0.3333 0.6667 0.6887 1
```

---

Which is the most stable structure? b is the most stable.

---

--- a ---
First-principles (PBE-GGA) data for a relaxed KSnSb crystal, as listed in the Alexandria database.

Geometry as CIF:
```
data_KSnSb
_space_group_name_H-M_alt 'I 4 m m'
_space_group_IT_number 107
_space_group_name_Hall 'I 4 -2'
_cell_length_a 3.977
_cell_length_b 3.977
_cell_length_c 12.721
_cell_angle_alpha 90.00
_cell_angle_beta 90.00
_cell_angle_gamma 90.00
loop_
_atom_site_label
_atom_site_fract_x
_atom_site_fract_y
_atom_site_fract_z
_atom_site_occupancy
K1 0.000 0.000 0.000 1
Sn1 0.000 0.000 0.298 1
Sb1 0.000 0.000 0.698 1
```

---

--- b ---
First-principles (PBE-GGA) data for a relaxed KSnSb crystal, as listed in the Alexandria database.

Geometry as CIF:
```
data_KSnSb
_space_group_name_H-M_alt 'P 1 21/m 1'
_space_group_IT_number 11
_space_group_name_Hall '-P 2yb'
_cell_length_a 7.375
_cell_length_b 4.552
_cell_length_c 7.884
_cell_angle_alpha 90.00
_cell_angle_beta 117.09
_cell_angle_gamma 90.00
loop_
_atom_site_label
_atom_site_fract_x
_atom_site_fract_y
_atom_site_fract_z
_atom_site_occupancy
K1 0.149 0.250 0.333 1
Sn1 0.350 0.750 0.093 1
Sb1 0.372 0.750 0.724 1
```

---

Which is the most stable structure? b is the most stable.

---

--- a ---
First-principles (PBE-GGA) data for a relaxed KSnSb crystal, as listed in the Alexandria database.

Geometry as CIF:
```
data_KSnSb
_space_group_name_H-M_alt 'P 1 21/c 1'
_space_group_IT_number 14
_space_group_name_Hall '-P 2ybc'
_cell_length_a 7.941
_cell_length_b 6.706
_cell_length_c 8.704
_cell_angle_alpha 90.00
_cell_angle_beta 91.49
_cell_angle_gamma 90.00
loop_
_atom_site_label
_atom_site_fract_x
_atom_site_fract_y
_atom_site_fract_z
_atom_site_occupancy
K1 0.164 0.099 0.300 1
Sn1 0.498 0.213 0.061 1
Sb1 0.291 0.601 0.170 1
```

---

--- b ---
First-principles (PBE-GGA) data for a relaxed KSnSb crystal, as listed in the Alexandria database.

Geometry as CIF:
```
data_KSnSb
_space_group_name_H-M_alt 'P n m a'
_space_group_IT_number 62
_space_group_name_Hall '-P 2ac 2n'
_cell_length_a 8.112
_cell_length_b 5.434
_cell_length_c 10.406
_cell_angle_alpha 90.00
_cell_angle_beta 90.00
_cell_angle_gamma 90.00
loop_
_atom_site_label
_atom_site_fract_x
_atom_site_fract_y
_atom_site_fract_z
_atom_site_occupancy
K1 0.131 0.250 0.164 1
Sn1 0.004 0.750 0.416 1
Sb1 0.155 0.250 0.831 1
```

---

Which is the most stable structure? a is the most stable.

---

--- a ---
First-principles (PBE-GGA) data for a relaxed K2SnSb crystal, as listed in the Alexandria database.

Geometry as CIF:
```
data_K2SnSb
_space_group_name_H-M_alt 'C m c m'
_space_group_IT_number 63
_space_group_name_Hall '-C 2c 2'
_cell_length_a 10.838
_cell_length_b 8.932
_cell_length_c 5.965
_cell_angle_alpha 90.00
_cell_angle_beta 90.00
_cell_angle_gamma 90.00
loop_
_atom_site_label
_atom_site_fract_x
_atom_site_fract_y
_atom_site_fract_z
_atom_site_occupancy
K1 0.186 0.154 0.250 1
Sn1 0.000 0.500 0.000 1
Sb1 0.000 0.178 0.750 1
```

---

--- b ---
First-principles (PBE-GGA) data for a relaxed K2SnSb crystal, as listed in the Alexandria database.

Geometry as CIF:
```
data_K2SnSb
_space_group_name_H-M_alt 'C 1 m 1'
_space_group_IT_number 8
_space_group_name_Hall 'C -2y'
_cell_length_a 12.332
_cell_length_b 5.679
_cell_length_c 5.903
_cell_angle_alpha 90.00
_cell_angle_beta 118.46
_cell_angle_gamma 90.00
loop_
_atom_site_label
_atom_site_fract_x
_atom_site_fract_y
_atom_site_fract_z
_atom_site_occupancy
K1 0.000 0.000 0.000 1
K2 0.135 0.500 0.634 1
Sn1 0.317 0.000 0.537 1
Sb1 0.317 0.000 0.040 1
```

---

--- c ---
First-principles (PBE-GGA) data for a relaxed K2SnSb crystal, as listed in the Alexandria database.

Geometry as CIF:
```
data_K2SnSb
_space_group_name_H-M_alt 'F m -3 m'
_space_group_IT_number 225
_space_group_name_Hall '-F 4 2 3'
_cell_length_a 8.245
_cell_length_b 8.245
_cell_length_c 8.245
_cell_angle_alpha 90.00
_cell_angle_beta 90.00
_cell_angle_gamma 90.00
loop_
_atom_site_label
_atom_site_fract_x
_atom_site_fract_y
_atom_site_fract_z
_atom_site_occupancy
K1 0.250 0.250 0.250 1
Sn1 0.000 0.000 0.000 1
Sb1 0.000 0.000 0.500 1
```

---

--- d ---
First-principles (PBE-GGA) data for a relaxed K2SnSb crystal, as listed in the Alexandria database.

Geometry as CIF:
```
data_K2SnSb
_space_group_name_H-M_alt 'I -4 2 d'
_space_group_IT_number 122
_space_group_name_Hall 'I -4 2bw'
_cell_length_a 10.043
_cell_length_b 10.043
_cell_length_c 6.106
_cell_angle_alpha 90.00
_cell_angle_beta 90.00
_cell_angle_gamma 90.00
loop_
_atom_site_label
_atom_site_fract_x
_atom_site_fract_y
_atom_site_fract_z
_atom_site_occupancy
K1 0.222 0.750 0.125 1
Sn1 0.000 0.000 0.500 1
Sb1 0.000 0.000 0.000 1
```

---

Which is the most stable structure? a is the most stable.

---

--- a ---
First-principles (PBE-GGA) data for a relaxed KSn3Sb3 crystal, as listed in the Alexandria database.

Geometry as CIF:
```
data_KSn3Sb3
_space_group_name_H-M_alt 'P 63/m'
_space_group_IT_number 176
_space_group_name_Hall '-P 6c'
_cell_length_a 10.0670
_cell_length_b 10.0670
_cell_length_c 5.9811
_cell_angle_alpha 90.00
_cell_angle_beta 90.00
_cell_angle_gamma 120.00
loop_
_atom_site_label
_atom_site_fract_x
_atom_site_fract_y
_atom_site_fract_z
_atom_site_occupancy
K1 0.3333 0.6667 0.2500 1
Sn1 0.0360 0.3676 0.7500 1
Sb1 0.0499 0.6701 0.7500 1
```

---

--- b ---
First-principles (PBE-GGA) data for a relaxed KSn3Sb3 crystal, as listed in the Alexandria database.

Geometry as CIF:
```
data_KSn3Sb3
_space_group_name_H-M_alt 'R -3'
_space_group_IT_number 148
_space_group_name_Hall '-R 3'
_cell_length_a 8.9892
_cell_length_b 8.9892
_cell_length_c 23.1125
_cell_angle_alpha 90.00
_cell_angle_beta 90.00
_cell_angle_gamma 120.00
loop_
_atom_site_label
_atom_site_fract_x
_atom_site_fract_y
_atom_site_fract_z
_atom_site_occupancy
K1 0.0000 0.0000 0.1670 1
Sn1 0.0002 0.3328 0.0489 1
Sb1 0.0008 0.3306 0.5882 1
```

---

Which is the most stable structure? b is the most stable.

---

--- a ---
First-principles (PBE-GGA) data for a relaxed K3Sn2Sb4 crystal, as listed in the Alexandria database.

Geometry as CIF:
```
data_K3Sn2Sb4
_space_group_name_H-M_alt 'C 1 2/m 1'
_space_group_IT_number 12
_space_group_name_Hall '-C 2y'
_cell_length_a 18.331
_cell_length_b 5.245
_cell_length_c 7.704
_cell_angle_alpha 90.00
_cell_angle_beta 114.49
_cell_angle_gamma 90.00
loop_
_atom_site_label
_atom_site_fract_x
_atom_site_fract_y
_atom_site_fract_z
_atom_site_occupancy
K1 0.000 0.000 0.000 1
K2 0.132 0.000 0.575 1
Sn1 0.169 0.500 0.967 1
Sb1 0.002 0.500 0.688 1
Sb2 0.209 0.000 0.184 1
```

---

--- b ---
First-principles (PBE-GGA) data for a relaxed K3Sn2Sb4 crystal, as listed in the Alexandria database.

Geometry as CIF:
```
data_K3Sn2Sb4
_space_group_name_H-M_alt 'C 1 2/c 1'
_space_group_IT_number 15
_space_group_name_Hall '-C 2yc'
_cell_length_a 16.019
_cell_length_b 11.837
_cell_length_c 7.390
_cell_angle_alpha 90.00
_cell_angle_beta 93.63
_cell_angle_gamma 90.00
loop_
_atom_site_label
_atom_site_fract_x
_atom_site_fract_y
_atom_site_fract_z
_atom_site_occupancy
K1 0.000 0.078 0.250 1
K2 0.103 0.380 0.983 1
Sn1 0.217 0.115 0.601 1
Sb1 0.120 0.309 0.483 1
Sb2 0.174 0.106 0.972 1
```

---

Which is the most stable structure? a is the most stable.